TlFeTc2 | GGA-PBE | optimized geometry

Cell: 3.0049 3.0049 7.0679 Å, 90.00 90.00 90.00°
Element x y z (fractional)
Tl (0.0000, 0.0000, 0.0000)
Fe (0.0000, 0.0000, 0.5000)
Tc (0.5000, 0.5000, 0.3030)
Tc (0.5000, 0.5000, 0.6970)

Properties
- M_tot (μB/cell) = 2.2
- symmetry = P4/mmm
- ΔE_f (meV/atom) = 459
- calculated total energy (eV per atom) = -7.43